## Pr2PuSi3Au12 (PBE)

Data for Pr2PuSi3Au12 after structural relaxation.

Density, g/cm³: 11.741
E, eV/cell: -245.9
ΔE_f (raw), meV per atom: -138

```
data_Pr2PuSi3Au12
_symmetry_space_group_name_H-M 'R -3 m'
_symmetry_Int_Tables_number 166
_symmetry_space_group_name_Hall '-R 3 2"'
_cell_length_a 8.9807
_cell_length_b 8.9807
_cell_length_c 18.0635
_cell_angle_alpha 90.00
_cell_angle_beta 90.00
_cell_angle_gamma 120.00
loop_
_atom_site_label
_atom_site_type_symbol
_atom_site_fract_x
_atom_site_fract_y
_atom_site_fract_z
_atom_site_occupancy
Pr1 Pr 0.0000 0.0000 0.0959 1
Pu1 Pu 0.0000 0.0000 0.5000 1
Si1 Si 0.0000 0.5000 0.0000 1
Au1 Au 0.0309 0.5154 0.3176 1
Au2 Au 0.0385 0.5192 0.8648 1
```